Here is a geometry-optimized Dy7Ga2Sn2 structure from Alexandria. Energies are from GGA-PBE.

The structure belongs to space group Cmmm (No. 65); the cell edges are 7.626, 10.897 and 7.758 Å and the angles 90.00°, 90.00° and 90.00°. The distinct sites, in fractional coordinates, are Dy at (0.000, 0.000, 0.000), Dy at (0.000, 0.500, 0.282), Dy at (0.250, 0.250, 0.294), Ga at (0.169, 0.000, 0.500) and Sn at (0.000, 0.300, 0.000).

As for the density of states at the Fermi level: 1.113 states/eV/atom. As for the energy: -97.55 eV for the cell shown. Its formation energy is -241 kJ/mol of formula units.